Entry 1:
The following is a DFT calculation (PBE) of a geometry-optimized TbDy3Ru structure.

Cell lengths 7.338, 7.338, 7.338 Å; angles 100.77, 119.81, 108.42 degrees
Element x y z (fractional)
Tb: 0.020 0.250 0.270
Tb: 0.980 0.750 0.730
Dy: 0.478 0.249 0.730
Dy: 0.500 0.212 0.214
Dy: 0.500 0.786 0.788
Dy: 0.519 0.749 0.270
Dy: 0.999 0.286 0.786
Dy: 0.999 0.712 0.212
Ru: 0.501 0.499 0.502
Ru: 0.998 0.999 0.498

Calculated values
Raw total energy   -5.69 eV/atom
SG   Ima2 (46)
ΔE to the lowest computed polymorph   0 kJ/mol of formula units



Entry 2:
The following is a DFT calculation (PBE) of a geometry-optimized Tb2Dy2Ru3 structure.

Cell lengths 3.410, 6.132, 7.645 Å; angles 97.22, 90.22, 104.86 degrees
Element x y z (fractional)
Tb: 0.100 0.143 0.203
Tb: 0.900 0.857 0.797
Dy: 0.181 0.356 0.661
Dy: 0.819 0.644 0.339
Ru: 0.319 0.685 0.052
Ru: 0.500 0.000 0.500
Ru: 0.681 0.315 0.948

Calculated values
Raw total energy   -6.81 eV/atom
SG   P-1 (2)
ΔE to the lowest computed polymorph   46 kJ/mol of formula units



Entry 3:
The following is a DFT calculation (PBE) of a geometry-optimized Tb2Dy6Ru structure.

Cell lengths 8.635, 3.680, 8.705 Å; angles 90.00, 93.47, 90.00 degrees
Element x y z (fractional)
Tb: 0.200 0.000 0.033
Tb: 0.800 0.000 0.967
Dy: 0.055 0.500 0.717
Dy: 0.269 0.000 0.448
Dy: 0.463 0.500 0.801
Dy: 0.537 0.500 0.199
Dy: 0.731 0.000 0.552
Dy: 0.945 0.500 0.283
Ru: 0.500 0.500 0.500

Calculated values
Raw total energy   -5.19 eV/atom
SG   P2/m (10)



Entry 4:
The following is a DFT calculation (PBE) of a geometry-optimized TbDy4Ru2 structure.

Cell lengths 7.767, 6.354, 7.902 Å; angles 90.00, 112.62, 90.00 degrees
Element x y z (fractional)
Tb: 0.026 0.250 0.164
Tb: 0.974 0.750 0.836
Dy: 0.243 0.501 0.585
Dy: 0.243 0.999 0.585
Dy: 0.324 0.750 0.247
Dy: 0.378 0.250 0.020
Dy: 0.622 0.750 0.980
Dy: 0.676 0.250 0.753
Dy: 0.757 0.001 0.415
Dy: 0.757 0.499 0.415
Ru: 0.022 0.250 0.742
Ru: 0.413 0.250 0.374
Ru: 0.587 0.750 0.626
Ru: 0.978 0.750 0.258

Calculated values
Raw total energy   -6.19 eV/atom
SG   P2_1/m (11)



Entry 5:
The following is a DFT calculation (PBE) of a geometry-optimized Tb3Dy2Ru2 structure.

Cell lengths 6.278, 6.278, 8.528 Å; angles 112.45, 112.45, 36.07 degrees
Element x y z (fractional)
Tb: 0.000 0.000 0.000
Tb: 0.121 0.121 0.428
Tb: 0.879 0.879 0.572
Dy: 0.334 0.334 0.189
Dy: 0.666 0.666 0.811
Ru: 0.320 0.320 0.777
Ru: 0.680 0.680 0.223

Calculated values
Raw total energy   -6.27 eV/atom
SG   C2/m (12)



Entry 6:
The following is a DFT calculation (PBE) of a geometry-optimized Tb3Dy5Ru2 structure.

Cell lengths 9.898, 9.898, 9.898 Å; angles 104.78, 88.46, 140.52 degrees
Element x y z (fractional)
Tb: 0.182 0.239 0.421
Tb: 0.250 0.250 0.000
Tb: 0.318 0.739 0.056
Tb: 0.682 0.261 0.944
Tb: 0.750 0.750 0.000
Tb: 0.818 0.761 0.579
Dy: 0.026 0.750 0.276
Dy: 0.063 0.717 0.780
Dy: 0.250 0.750 0.500
Dy: 0.437 0.217 0.654
Dy: 0.474 0.750 0.724
Dy: 0.526 0.250 0.276
Dy: 0.563 0.783 0.346
Dy: 0.750 0.250 0.500
Dy: 0.937 0.283 0.220
Dy: 0.974 0.250 0.724
Ru: 0.158 0.895 0.053
Ru: 0.342 0.395 0.736
Ru: 0.658 0.605 0.264
Ru: 0.842 0.105 0.947

Calculated values
Raw total energy   -5.57 eV/atom
SG   Ibam (72)



Entry 7:
The following is a DFT calculation (PBE) of a geometry-optimized TbDy3Ru structure.

Cell lengths 4.842, 9.737, 6.505 Å; angles 90.00, 111.72, 90.00 degrees
Element x y z (fractional)
Tb: 0.138 0.250 0.275
Tb: 0.862 0.750 0.725
Dy: 0.137 0.750 0.273
Dy: 0.365 0.000 0.732
Dy: 0.365 0.500 0.732
Dy: 0.635 0.000 0.268
Dy: 0.635 0.500 0.268
Dy: 0.863 0.250 0.727
Ru: 0.499 0.250 0.999
Ru: 0.501 0.750 0.001

Calculated values
Raw total energy   -5.67 eV/atom
SG   P2_1/m (11)
ΔE to the lowest computed polymorph   11 kJ/mol of formula units



Entry 8:
The following is a DFT calculation (PBE) of a geometry-optimized TbDy3Ru4 structure.

Cell lengths 4.804, 4.804, 6.820 Å; angles 90.00, 90.00, 90.00 degrees
Element x y z (fractional)
Tb: 0.000 0.000 0.000
Dy: 0.000 0.000 0.500
Dy: 0.500 0.500 0.000
Dy: 0.500 0.500 0.500
Ru: 0.000 0.500 0.251
Ru: 0.000 0.500 0.749
Ru: 0.500 0.000 0.251
Ru: 0.500 0.000 0.749

Calculated values
Raw total energy   -7.25 eV/atom
SG   P4/mmm (123)



Entry 9:
The following is a DFT calculation (PBE) of a geometry-optimized Tb2DyRu2 structure.

Cell lengths 10.404, 10.404, 3.384 Å; angles 90.00, 90.00, 161.17 degrees
Element x y z (fractional)
Tb: 0.165 0.835 0.000
Tb: 0.835 0.165 0.000
Dy: 0.000 0.000 0.000
Ru: 0.413 0.587 0.500
Ru: 0.587 0.413 0.500

Calculated values
Raw total energy   -6.79 eV/atom
SG   Cmmm (65)
ΔE to the lowest computed polymorph   0 kJ/mol of formula units



Entry 10:
The following is a DFT calculation (PBE) of a geometry-optimized Tb2DyRu2 structure.

Cell lengths 6.013, 6.013, 9.856 Å; angles 90.00, 90.00, 138.60 degrees
Element x y z (fractional)
Tb: 0.094 0.906 0.500
Tb: 0.353 0.647 0.686
Tb: 0.647 0.353 0.186
Tb: 0.906 0.094 0.000
Dy: 0.353 0.647 0.314
Dy: 0.647 0.353 0.814
Ru: 0.001 0.999 0.750
Ru: 0.192 0.808 0.999
Ru: 0.808 0.192 0.499
Ru: 0.999 0.001 0.250

Calculated values
Raw total energy   -6.75 eV/atom
SG   Cmc2_1 (36)
ΔE to the lowest computed polymorph   20 kJ/mol of formula units



Entry 11:
The following is a DFT calculation (PBE) of a geometry-optimized Tb3Dy2Ru4 structure.

Cell lengths 4.878, 4.878, 9.246 Å; angles 90.00, 90.00, 120.00 degrees
Element x y z (fractional)
Tb: 0.000 0.000 0.000
Tb: 0.333 0.667 0.409
Tb: 0.667 0.333 0.591
Dy: 0.333 0.667 0.795
Dy: 0.667 0.333 0.205
Ru: 0.000 0.000 0.358
Ru: 0.000 0.000 0.642
Ru: 0.333 0.667 0.106
Ru: 0.667 0.333 0.894

Calculated values
Raw total energy   -7.00 eV/atom
SG   P-3m1 (164)



Entry 12:
The following is a DFT calculation (PBE) of a geometry-optimized TbDy4Ru5 structure.

Cell lengths 3.405, 3.405, 16.976 Å; angles 90.00, 90.00, 90.00 degrees
Element x y z (fractional)
Tb: 0.000 0.000 0.000
Dy: 0.000 0.000 0.201
Dy: 0.000 0.000 0.400
Dy: 0.000 0.000 0.600
Dy: 0.000 0.000 0.799
Ru: 0.500 0.500 0.101
Ru: 0.500 0.500 0.301
Ru: 0.500 0.500 0.500
Ru: 0.500 0.500 0.699
Ru: 0.500 0.500 0.899

Calculated values
Raw total energy   -7.26 eV/atom
SG   P4/mmm (123)



| no. | energy relative to the elements (eV per atom) | total moment (μB per formula unit) |
| --- | --- | --- |
| 1 | -0.152 | 0.0 |
| 2 | -0.197 | 0.0 |
| 3 | -0.061 | 0.0 |
| 4 | -0.248 | 0.0 |
| 5 | -0.321 | 0.0 |
| 6 | -0.022 | 0.0 |
| 7 | -0.130 | 0.0 |
| 8 | -0.311 | 0.0 |
| 9 | -0.306 | 0.0 |
| 10 | -0.264 | 0.0 |
| 11 | -0.308 | 0.0 |
| 12 | -0.314 | 0.0 |